# 1
This record from Alexandria via LeMat-Bulk describes crystalline Ag4Pt at its relaxed geometry. The functional is GGA-PBEsol.

The calculation puts the volume at 161 Å³ per cell. Its density of states at the Fermi level is 1.67 states/eV/f.u. The space group is C2/m (12). For the polymorph energy (0 for the lowest one), the calculation gives 0.016 eV per atom.

a = 9.402 Å, b = 2.828 Å, c = 6.963 Å
α = 90.00°, β = 119.42°, γ = 90.00°
Positions (direct):
Ag 0.097 0.000 0.394
Ag 0.203 0.500 0.801
Ag 0.297 0.000 0.199
Ag 0.403 0.500 0.606
Ag 0.597 0.500 0.394
Ag 0.703 0.000 0.801
Ag 0.797 0.500 0.199
Ag 0.903 0.000 0.606
Pt 0.000 0.500 0.000
Pt 0.500 0.000 0.000

# 2
This record from Alexandria via LeMat-Bulk describes crystalline Ag5Pt7 at its relaxed geometry. The functional is GGA-PBEsol.

The calculation puts the volume at 186 Å³ per cell. Its density of states at the Fermi level is 12.39 states/eV/f.u. The space group is C2/m (12). For the polymorph energy (0 for the lowest one), the calculation gives 0.055 eV per atom.

a = 4.865 Å, b = 4.865 Å, c = 9.252 Å
α = 95.37°, β = 95.37°, γ = 120.19°
Positions (direct):
Ag 0.000 0.000 0.000
Ag 0.167 0.833 0.500
Ag 0.236 0.236 0.750
Ag 0.764 0.764 0.250
Ag 0.833 0.167 0.500
Pt 0.104 0.434 0.249
Pt 0.329 0.671 0.000
Pt 0.434 0.104 0.249
Pt 0.500 0.500 0.500
Pt 0.566 0.896 0.751
Pt 0.671 0.329 0.000
Pt 0.896 0.566 0.751

# 3
This record from Alexandria via LeMat-Bulk describes crystalline Ag4Pt5 at its relaxed geometry. The functional is GGA-PBEsol.

The calculation puts the volume at 139 Å³ per cell. Its density of states at the Fermi level is 6.56 states/eV/f.u. The space group is I4/mmm (139). For the polymorph energy (0 for the lowest one), the calculation gives 0.008 eV per atom.

a = 6.290 Å, b = 6.290 Å, c = 6.290 Å
α = 95.52°, β = 95.52°, γ = 143.87°
Positions (direct):
Ag 0.000 0.332 0.332
Ag 0.000 0.668 0.668
Ag 0.332 0.000 0.332
Ag 0.668 0.000 0.668
Pt 0.000 0.000 0.000
Pt 0.334 0.334 0.668
Pt 0.334 0.666 0.000
Pt 0.666 0.334 0.000
Pt 0.666 0.666 0.332